Density functional theory data (PBEsol) for an optimized crystal structure of SrMnCo3.

The value obtained for the calculated formation energy is 386 kJ/mol of formula units. Its total energy is -30.81 eV/f.u. The calculation puts the density of states at the Fermi level at 6.5 states/eV/f.u.

abc: 4.270 4.270 4.270
angles: 90.00 90.00 90.00
Space group Pm-3m (No. 221)
One atom of each set of equivalent atoms:
Sr: 0.000 0.000 0.000
Mn: 0.500 0.500 0.500
Co: 0.000 0.500 0.500